The following is a PBE calculation of crystalline PmSmMg4 at its relaxed geometry, from Alexandria via LeMat-Bulk.

Output
spin magnetization	0.000	μB/atom
final energy	-16.4	eV/f.u.
formation energy	-0.097	eV/atom

Cell: 6.101 6.101 6.101 Å, 60.00 60.00 60.00°
Fractional coordinates of all 6 atoms:
Mg (0.625, 0.125, 0.625)
Pm (0.250, 0.250, 0.250)
Mg (0.625, 0.625, 0.125)
Mg (0.625, 0.625, 0.625)
Mg (0.125, 0.625, 0.625)
Sm (0.000, 0.000, 0.000)

=====

The following is a PBE calculation of crystalline PmSmMg2 at its relaxed geometry, from Alexandria via LeMat-Bulk.

Output
spin magnetization	0.000	μB/atom
final energy	-13.1	eV/f.u.
formation energy	-0.107	eV/atom
distance to the lowest polymorph of the same formula	3.7	meV/atom

Cell: 3.857 5.452 5.452 Å, 90.00 90.00 90.00°
Fractional coordinates of all 4 atoms:
Mg (0.000, 0.500, 0.000)
Mg (0.000, 0.000, 0.500)
Sm (0.500, 0.000, 0.000)
Pm (0.500, 0.500, 0.500)

=====

The following is a PBE calculation of crystalline Pm5Sm6Mg at its relaxed geometry, from Alexandria via LeMat-Bulk.

Output
spin magnetization	0.000	μB/atom
final energy	-53.5	eV/f.u.
formation energy	0.016	eV/atom

Cell: 5.110 8.062 11.412 Å, 81.84 63.39 71.52°
Fractional coordinates of all 12 atoms:
Sm (0.413, 0.667, 0.754)
Pm (0.167, 0.667, 0.500)
Mg (0.000, 0.000, 0.000)
Pm (0.500, 0.000, 0.500)
Sm (0.748, 0.000, 0.752)
Pm (0.833, 0.333, 0.500)
Sm (0.920, 0.667, 0.246)
Sm (0.587, 0.333, 0.246)
Pm (0.667, 0.666, 0.000)
Pm (0.333, 0.334, 0.000)
Sm (0.080, 0.333, 0.754)
Sm (0.252, 0.000, 0.248)

=====

The following is a PBE calculation of crystalline PmSm5Mg3 at its relaxed geometry, from Alexandria via LeMat-Bulk.

Output
spin magnetization	0.000	μB/atom
final energy	-33.1	eV/f.u.
formation energy	0.007	eV/atom

Cell: 7.030 9.556 9.556 Å, 120.00 90.00 90.00°
Fractional coordinates of all 18 atoms:
Sm (0.750, 0.000, 0.333)
Mg (0.750, 0.000, 0.666)
Sm (0.250, 0.667, 0.000)
Sm (0.000, 0.333, 0.667)
Mg (0.250, 0.000, 0.334)
Sm (0.500, 0.333, 0.667)
Sm (0.250, 0.333, 0.333)
Sm (0.000, 0.667, 0.333)
Mg (0.250, 0.666, 0.666)
Sm (0.250, 0.000, 0.667)
Sm (0.500, 0.667, 0.333)
Pm (0.000, 0.000, 0.000)
Sm (0.750, 0.333, 0.000)
Sm (0.750, 0.667, 0.667)
Mg (0.750, 0.666, 0.000)
Mg (0.750, 0.334, 0.334)
Mg (0.250, 0.334, 0.000)
Pm (0.500, 0.000, 0.000)

=====

The following is a PBE calculation of crystalline Pm3Sm2Mg3 at its relaxed geometry, from Alexandria via LeMat-Bulk.

Output
spin magnetization	0.000	μB/atom
final energy	-29.0	eV/f.u.
formation energy	-0.068	eV/atom

Cell: 3.857 5.540 11.841 Å, 103.53 99.37 90.00°
Fractional coordinates of all 8 atoms:
Pm (0.623, 0.623, 0.247)
Mg (0.117, 0.117, 0.234)
Pm (0.377, 0.377, 0.753)
Sm (0.265, 0.765, 0.529)
Pm (0.500, 0.000, 0.000)
Mg (0.000, 0.500, 0.000)
Mg (0.883, 0.883, 0.766)
Sm (0.735, 0.235, 0.471)

=====

The following is a PBE calculation of crystalline Pm6Sm8Mg at its relaxed geometry, from Alexandria via LeMat-Bulk.

Output
spin magnetization	0.000	μB/atom
final energy	-66.0	eV/f.u.
formation energy	0.123	eV/atom

Cell: 6.506 9.498 9.498 Å, 120.00 90.00 90.00°
Fractional coordinates of all 15 atoms:
Pm (0.674, 0.909, 0.554)
Pm (0.326, 0.091, 0.446)
Pm (0.674, 0.644, 0.091)
Sm (0.819, 0.232, 0.963)
Sm (0.143, 0.667, 0.333)
Sm (0.181, 0.768, 0.037)
Sm (0.181, 0.963, 0.731)
Sm (0.819, 0.037, 0.269)
Mg (0.500, 0.000, 0.000)
Pm (0.326, 0.356, 0.909)
Pm (0.674, 0.446, 0.356)
Pm (0.326, 0.554, 0.644)
Sm (0.181, 0.269, 0.232)
Sm (0.819, 0.731, 0.768)
Sm (0.857, 0.333, 0.667)

=====

The following is a PBE calculation of crystalline Pm15Sm4Mg at its relaxed geometry, from Alexandria via LeMat-Bulk.

Output
spin magnetization	0.000	μB/atom
final energy	-91.5	eV/f.u.
formation energy	0.012	eV/atom

Cell: 5.127 5.127 25.681 Å, 90.00 90.00 90.00°
Fractional coordinates of all 20 atoms:
Pm (0.000, 0.500, 0.702)
Sm (0.000, 0.000, 0.197)
Pm (0.500, 0.500, 0.000)
Pm (0.500, 0.500, 0.196)
Pm (0.500, 0.000, 0.903)
Pm (0.000, 0.500, 0.298)
Pm (0.000, 0.500, 0.500)
Sm (0.000, 0.000, 0.601)
Mg (0.000, 0.000, 0.000)
Pm (0.500, 0.000, 0.298)
Pm (0.500, 0.000, 0.702)
Pm (0.000, 0.500, 0.903)
Pm (0.500, 0.000, 0.500)
Pm (0.500, 0.500, 0.399)
Pm (0.000, 0.500, 0.097)
Pm (0.500, 0.000, 0.097)
Sm (0.000, 0.000, 0.399)
Sm (0.000, 0.000, 0.803)
Pm (0.500, 0.500, 0.804)
Pm (0.500, 0.500, 0.601)

=====

The following is a PBE calculation of crystalline PmSmMgSn at its relaxed geometry, from Alexandria via LeMat-Bulk.

Output
spin magnetization	0.000	μB/atom
final energy	-16.8	eV/f.u.
formation energy	-0.434	eV/atom

Cell: 5.404 5.404 5.404 Å, 60.00 60.00 60.00°
Fractional coordinates of all 4 atoms:
Pm (0.000, 0.000, 0.000)
Mg (0.750, 0.750, 0.750)
Sn (0.250, 0.250, 0.250)
Sm (0.500, 0.500, 0.500)

=====

The following is a PBE calculation of crystalline SrPmSmMg at its relaxed geometry, from Alexandria via LeMat-Bulk.

Output
spin magnetization	0.000	μB/atom
final energy	-12.1	eV/f.u.
formation energy	0.154	eV/atom

Cell: 5.816 5.816 5.816 Å, 60.00 60.00 60.00°
Fractional coordinates of all 4 atoms:
Mg (0.750, 0.750, 0.750)
Sm (0.500, 0.500, 0.500)
Sr (0.000, 0.000, 0.000)
Pm (0.250, 0.250, 0.250)

=====

The following is a PBE calculation of crystalline TbPm6Sm2Mg at its relaxed geometry, from Alexandria via LeMat-Bulk.

Output
spin magnetization	0.000	μB/atom
final energy	-43.0	eV/f.u.
formation energy	0.112	eV/atom

Cell: 9.289 9.016 9.016 Å, 118.09 92.20 92.20°
Fractional coordinates of all 20 atoms:
Tb (0.750, 0.024, 0.976)
Pm (0.704, 0.996, 0.570)
Pm (0.896, 0.276, 0.503)
Pm (0.204, 0.570, 0.996)
Pm (0.796, 0.430, 0.004)
Sm (0.951, 0.680, 0.788)
Tb (0.250, 0.976, 0.024)
Pm (0.604, 0.497, 0.724)
Mg (0.250, 0.420, 0.580)
Sm (0.451, 0.788, 0.680)
Sm (0.049, 0.320, 0.212)
Pm (0.554, 0.781, 0.137)
Pm (0.104, 0.724, 0.497)
Pm (0.946, 0.863, 0.219)
Sm (0.549, 0.212, 0.320)
Pm (0.054, 0.137, 0.781)
Pm (0.296, 0.004, 0.430)
Pm (0.396, 0.503, 0.276)
Mg (0.750, 0.580, 0.420)
Pm (0.446, 0.219, 0.863)

=====

The following is a PBE calculation of crystalline Tb2Pm2Sm2Mg at its relaxed geometry, from Alexandria via LeMat-Bulk.

Output
spin magnetization	0.000	μB/atom
final energy	-29.2	eV/f.u.
formation energy	0.088	eV/atom

Cell: 3.578 6.156 11.735 Å, 111.63 90.00 106.90°
Fractional coordinates of all 7 atoms:
Pm (0.545, 0.090, 0.761)
Sm (0.763, 0.525, 0.637)
Pm (0.455, 0.910, 0.239)
Mg (0.000, 0.000, 0.500)
Tb (0.671, 0.342, 0.084)
Sm (0.237, 0.475, 0.363)
Tb (0.329, 0.658, 0.916)

=====

The following is a PBE calculation of crystalline TbPm2Sm4Mg at its relaxed geometry, from Alexandria via LeMat-Bulk.

Output
spin magnetization	0.000	μB/atom
final energy	-34.5	eV/f.u.
formation energy	0.014	eV/atom

Cell: 5.031 5.044 11.377 Å, 63.69 90.00 90.00°
Fractional coordinates of all 8 atoms:
Sm (0.000, 0.747, 0.752)
Pm (0.000, 0.000, 0.000)
Pm (0.500, 0.000, 0.500)
Sm (0.500, 0.247, 0.752)
Sm (0.500, 0.753, 0.248)
Tb (0.000, 0.500, 0.500)
Mg (0.500, 0.500, 0.000)
Sm (0.000, 0.253, 0.248)

=====

The following is a PBE calculation of crystalline Tb4PmSm2Mg at its relaxed geometry, from Alexandria via LeMat-Bulk.

Output
spin magnetization	0.000	μB/atom
final energy	-34.1	eV/f.u.
formation energy	0.021	eV/atom

Cell: 4.985 4.998 11.334 Å, 63.88 90.00 90.00°
Fractional coordinates of all 8 atoms:
Pm (0.000, 0.500, 0.500)
Sm (0.000, 0.000, 0.000)
Tb (0.000, 0.253, 0.247)
Tb (0.000, 0.747, 0.753)
Tb (0.500, 0.246, 0.753)
Tb (0.500, 0.754, 0.247)
Sm (0.500, 0.000, 0.500)
Mg (0.500, 0.500, 0.000)

=====

The following is a PBE calculation of crystalline Tb6Pm3Sm2Mg at its relaxed geometry, from Alexandria via LeMat-Bulk.

Output
spin magnetization	0.000	μB/atom
final energy	-52.8	eV/f.u.
formation energy	0.023	eV/atom

Cell: 6.187 6.187 11.838 Å, 95.02 95.02 120.04°
Fractional coordinates of all 12 atoms:
Tb (0.586, 0.918, 0.753)
Pm (0.500, 0.500, 0.500)
Mg (0.000, 0.000, 0.000)
Tb (0.082, 0.414, 0.247)
Pm (0.166, 0.834, 0.500)
Pm (0.834, 0.166, 0.500)
Tb (0.918, 0.586, 0.753)
Tb (0.414, 0.082, 0.247)
Tb (0.751, 0.751, 0.249)
Sm (0.666, 0.334, 0.000)
Sm (0.334, 0.666, 0.000)
Tb (0.249, 0.249, 0.751)

=====

The following is a PBE calculation of crystalline TbPm2SmMg at its relaxed geometry, from Alexandria via LeMat-Bulk.

Output
spin magnetization	0.000	μB/atom
final energy	-20.4	eV/f.u.
formation energy	0.017	eV/atom

Cell: 5.669 6.191 9.547 Å, 71.03 90.00 90.00°
Fractional coordinates of all 10 atoms:
Pm (0.750, 0.983, 0.392)
Mg (0.750, 0.583, 0.194)
Sm (0.250, 0.641, 0.392)
Pm (0.250, 0.249, 0.203)
Sm (0.750, 0.359, 0.608)
Tb (0.250, 0.828, 0.004)
Pm (0.750, 0.751, 0.797)
Mg (0.250, 0.417, 0.806)
Pm (0.250, 0.017, 0.608)
Tb (0.750, 0.172, 0.996)

=====

The following is a PBE calculation of crystalline Tb2PmSmMg at its relaxed geometry, from Alexandria via LeMat-Bulk.

Output
spin magnetization	0.000	μB/atom
final energy	-20.2	eV/f.u.
formation energy	0.025	eV/atom

Cell: 4.970 6.115 11.203 Å, 90.07 90.00 113.98°
Fractional coordinates of all 10 atoms:
Tb (0.647, 0.294, 0.452)
Mg (0.053, 0.106, 0.641)
Tb (0.353, 0.706, 0.548)
Tb (0.846, 0.692, 0.053)
Mg (0.947, 0.894, 0.359)
Pm (0.246, 0.493, 0.255)
Pm (0.754, 0.507, 0.745)
Sm (0.453, 0.906, 0.849)
Tb (0.154, 0.308, 0.947)
Sm (0.547, 0.094, 0.151)

=====

The following is a PBE calculation of crystalline TbPm5Sm2Mg at its relaxed geometry, from Alexandria via LeMat-Bulk.

Output
spin magnetization	0.000	μB/atom
final energy	-38.6	eV/f.u.
formation energy	0.091	eV/atom

Cell: 5.537 10.509 10.766 Å, 90.00 90.00 105.28°
Fractional coordinates of all 18 atoms:
Pm (0.620, 0.239, 0.508)
Pm (0.380, 0.761, 0.008)
Sm (0.885, 0.771, 0.797)
Tb (0.798, 0.596, 0.508)
Sm (0.115, 0.229, 0.720)
Pm (0.500, 0.000, 0.758)
Sm (0.885, 0.771, 0.220)
Pm (0.711, 0.422, 0.208)
Pm (0.985, 0.971, 0.508)
Mg (0.595, 0.191, 0.008)
Pm (0.289, 0.577, 0.309)
Mg (0.405, 0.809, 0.508)
Pm (0.015, 0.029, 0.008)
Pm (0.500, 0.000, 0.258)
Pm (0.711, 0.423, 0.809)
Tb (0.202, 0.404, 0.008)
Sm (0.115, 0.229, 0.297)
Pm (0.289, 0.578, 0.708)

=====

The following is a PBE calculation of crystalline Tb4Pm2Sm2Mg at its relaxed geometry, from Alexandria via LeMat-Bulk.

Output
spin magnetization	0.000	μB/atom
final energy	-37.8	eV/f.u.
formation energy	0.138	eV/atom

Cell: 7.214 8.562 6.652 Å, 123.56 118.07 80.88°
Fractional coordinates of all 9 atoms:
Mg (0.000, 0.000, 0.000)
Sm (0.151, 0.603, 0.852)
Pm (0.821, 0.174, 0.468)
Tb (0.374, 0.212, 0.580)
Sm (0.849, 0.397, 0.148)
Tb (0.660, 0.652, 0.841)
Tb (0.340, 0.348, 0.159)
Tb (0.626, 0.788, 0.420)
Pm (0.179, 0.826, 0.532)

=====

The following is a PBE calculation of crystalline Tb6PmSm2Mg at its relaxed geometry, from Alexandria via LeMat-Bulk.

Output
spin magnetization	0.000	μB/atom
final energy	-42.4	eV/f.u.
formation energy	0.117	eV/atom

Cell: 9.555 8.693 8.693 Å, 116.35 94.07 94.07°
Fractional coordinates of all 20 atoms:
Tb (0.447, 0.247, 0.878)
Pm (0.250, 0.981, 0.019)
Mg (0.250, 0.406, 0.594)
Tb (0.553, 0.753, 0.122)
Tb (0.387, 0.507, 0.297)
Mg (0.750, 0.594, 0.406)
Tb (0.947, 0.878, 0.247)
Tb (0.811, 0.433, 0.993)
Tb (0.311, 0.993, 0.433)
Tb (0.189, 0.567, 0.007)
Tb (0.053, 0.122, 0.753)
Tb (0.113, 0.703, 0.493)
Sm (0.051, 0.303, 0.204)
Sm (0.949, 0.697, 0.796)
Sm (0.449, 0.796, 0.697)
Tb (0.689, 0.007, 0.567)
Pm (0.750, 0.019, 0.981)
Tb (0.887, 0.297, 0.507)
Tb (0.613, 0.493, 0.703)
Sm (0.551, 0.204, 0.303)

=====

The following is a PBE calculation of crystalline Tb3Pm2Sm6Mg at its relaxed geometry, from Alexandria via LeMat-Bulk.

Output
spin magnetization	0.000	μB/atom
final energy	-53.1	eV/f.u.
formation energy	0.015	eV/atom

Cell: 6.216 6.216 11.856 Å, 95.03 95.03 120.03°
Fractional coordinates of all 12 atoms:
Tb (0.166, 0.834, 0.500)
Sm (0.586, 0.917, 0.749)
Sm (0.414, 0.083, 0.251)
Sm (0.083, 0.414, 0.251)
Pm (0.333, 0.667, 0.000)
Tb (0.500, 0.500, 0.500)
Pm (0.667, 0.333, 0.000)
Mg (0.000, 0.000, 0.000)
Sm (0.917, 0.586, 0.749)
Sm (0.752, 0.752, 0.252)
Tb (0.834, 0.166, 0.500)
Sm (0.248, 0.248, 0.748)

=====

The following is a PBE calculation of crystalline Tb2Pm6SmMg at its relaxed geometry, from Alexandria via LeMat-Bulk.

Output
spin magnetization	0.000	μB/atom
final energy	-42.9	eV/f.u.
formation energy	0.116	eV/atom

Cell: 9.216 9.013 9.013 Å, 117.73 91.59 91.59°
Fractional coordinates of all 20 atoms:
Pm (0.101, 0.723, 0.493)
Pm (0.899, 0.277, 0.507)
Pm (0.399, 0.507, 0.277)
Tb (0.053, 0.322, 0.213)
Pm (0.704, 0.992, 0.566)
Pm (0.555, 0.784, 0.136)
Pm (0.796, 0.434, 0.008)
Mg (0.750, 0.577, 0.423)
Sm (0.250, 0.973, 0.027)
Pm (0.445, 0.216, 0.864)
Pm (0.055, 0.136, 0.784)
Pm (0.945, 0.864, 0.216)
Pm (0.601, 0.493, 0.723)
Tb (0.947, 0.678, 0.787)
Pm (0.204, 0.566, 0.992)
Tb (0.447, 0.787, 0.678)
Tb (0.553, 0.213, 0.322)
Pm (0.296, 0.008, 0.434)
Sm (0.750, 0.027, 0.973)
Mg (0.250, 0.423, 0.577)